VASP calculation (PBE-GGA) on crystalline Cu2Mo2Ru at its relaxed geometry.

Output
E in eV for the cell shown: -71.91
Formation enthalpy at 0 K in eV/f.u.: 3.2
Energy relative to the lowest polymorph listed for this composition in eV per atom: 0.0000
Mass density in g cm⁻³: 9.44

a = 7.596 Å, b = 7.596 Å, c = 2.562 Å
α = 90.00°, β = 90.00°, γ = 90.00°
Fractional positions:
Mo  0.879  0.621  0.000
Mo  0.121  0.379  0.000
Mo  0.379  0.879  0.000
Mo  0.621  0.121  0.000
Cu  0.825  0.325  0.500
Cu  0.175  0.675  0.500
Cu  0.675  0.825  0.500
Cu  0.325  0.175  0.500
Ru  0.000  0.000  0.000
Ru  0.500  0.500  0.000